No. 1
{"formula": "RhSeBr2", "functional": "PBEsol", "state": "relaxed", "e_form_raw_mev_per_atom": 381, "total_magnetization_mub_per_atom": 0.0003, "crystal_system": "trigonal", "lattice_angstrom": [[-2.286, -0.692, -1.685], [0.391, -0.532, -2.848], [1.043, -11.572, 0.804]], "species": ["Rh", "Se", "Br", "Br"], "fractional_positions": [[0.000, 0.000, 0.000], [0.500, 0.500, 0.500], [0.932, 0.932, 0.204], [0.068, 0.068, 0.796]]}

***

No. 2
{"formula": "NaTlNF2", "functional": "PBEsol", "state": "relaxed", "e_form_raw_mev_per_atom": -501, "total_magnetization_mub_per_atom": 0.5984, "crystal_system": "tetragonal", "lattice_angstrom": [[4.303, 0.000, 0.000], [0.000, 4.303, 0.000], [0.000, 0.000, 4.443]], "species": ["Na", "Tl", "N", "F", "F"], "fractional_positions": [[0.000, 0.000, 0.000], [0.500, 0.500, 0.500], [0.000, 0.000, 0.500], [0.000, 0.500, 0.000], [0.500, 0.000, 0.000]]}

***

No. 3
{"formula": "NiMo2Os", "functional": "PBEsol", "state": "relaxed", "total_magnetization_mub_per_atom": 0.0001, "ef_ev_per_atom": -0.014, "crystal_system": "tetragonal", "lattice_angstrom": [[3.806, 0.000, 0.000], [0.000, 3.806, 0.000], [-1.903, -1.903, 3.785]], "species": ["Ni", "Mo", "Mo", "Os"], "fractional_positions": [[0.500, 0.500, 0.000], [0.750, 0.250, 0.500], [0.250, 0.750, 0.500], [0.000, 0.000, 0.000]]}

***

No. 4
{"formula": "LiTaSi2", "functional": "PBEsol", "state": "relaxed", "e_form_raw_mev_per_atom": -210, "total_magnetization_mub_per_atom": 0.0000, "crystal_system": "tetragonal", "lattice_angstrom": [[-2.004, -0.327, 1.828], [-1.521, -1.255, -1.892], [3.179, -7.173, 2.202]], "species": ["Si", "Si", "Ta", "Li"], "fractional_positions": [[0.000, 0.000, 0.755], [0.000, 0.000, 0.245], [0.500, 0.500, 0.000], [0.500, 0.500, 0.500]]}

***

No. 5
{"formula": "LiZr2Ir", "functional": "PBEsol", "state": "relaxed", "total_magnetization_mub_per_atom": 0.0000, "ef_ev_per_atom": 0.009, "crystal_system": "tetragonal", "lattice_angstrom": [[-2.356, 2.648, -4.457], [-2.264, -3.316, -4.411], [-5.825, 1.271, 0.196]], "species": ["Ir", "Ir", "Zr", "Zr", "Zr", "Zr", "Li", "Li"], "fractional_positions": [[0.750, 0.500, 0.500], [0.000, 0.000, 0.000], [0.093, 0.032, 0.532], [0.657, 0.968, 0.468], [0.375, 0.532, 0.968], [0.875, 0.468, 0.032], [0.250, 0.500, 0.500], [0.500, 0.000, 0.000]]}

***

No. 6
{"formula": "YTeOs2", "functional": "PBEsol", "state": "relaxed", "e_form_raw_mev_per_atom": 628, "total_magnetization_mub_per_atom": 0.0000, "crystal_system": "trigonal", "lattice_angstrom": [[-3.131, 0.153, -0.393], [-1.578, -2.504, -1.104], [-2.724, -3.624, 7.595]], "species": ["Os", "Os", "Te", "Y"], "fractional_positions": [[0.246, 0.246, 0.262], [0.754, 0.754, 0.738], [0.500, 0.500, 0.500], [0.000, 0.000, 0.000]]}

***

No. 7
{"formula": "KCd2Hg", "functional": "PBEsol", "state": "relaxed", "total_magnetization_mub_per_atom": 0.0000, "ef_ev_per_atom": -0.057, "crystal_system": "orthorhombic", "lattice_angstrom": [[3.120, 0.000, 0.000], [0.000, 4.166, 0.000], [0.000, 0.000, 8.144]], "species": ["K", "Hg", "Cd", "Cd"], "fractional_positions": [[0.500, 0.500, 0.742], [0.000, 0.000, 0.457], [0.000, 0.000, 0.055], [0.500, 0.500, 0.246]]}

***

No. 8
{"formula": "Ce4Ni3Pt", "functional": "PBEsol", "state": "relaxed", "total_magnetization_mub_per_atom": 0.0061, "ef_ev_per_atom": -0.421, "crystal_system": "orthorhombic", "lattice_angstrom": [[-3.424, -0.290, 1.156], [0.687, -4.053, 1.018], [2.976, 2.902, 9.542]], "species": ["Ni", "Ni", "Ni", "Ce", "Ce", "Ce", "Ce", "Pt"], "fractional_positions": [[0.000, 0.500, 0.578], [0.000, 0.000, 0.421], [0.500, 0.000, 0.911], [0.500, 0.500, 0.374], [0.000, 0.500, 0.849], [0.000, 0.000, 0.139], [0.500, 0.000, 0.643], [0.500, 0.500, 0.085]]}

***

No. 9
{"formula": "YTl2Si", "functional": "PBEsol", "state": "relaxed", "e_form_raw_mev_per_atom": -180, "total_magnetization_mub_per_atom": 0.0000, "crystal_system": "monoclinic", "lattice_angstrom": [[4.018, 0.000, 0.000], [0.000, 4.164, -0.014], [0.000, -2.069, 5.926]], "species": ["Si", "Tl", "Tl", "Y"], "fractional_positions": [[0.500, 0.025, 0.678], [0.000, 0.201, 0.026], [0.500, 0.794, 0.211], [0.000, 0.479, 0.585]]}

***

No. 10
{"formula": "BaIr2", "functional": "PBEsol", "state": "relaxed", "total_magnetization_mub_per_atom": 0.0003, "ef_ev_per_atom": 1.903, "crystal_system": "cubic", "lattice_angstrom": [[4.635, 0.000, 0.000], [2.318, 4.014, 0.000], [2.318, 1.338, 3.785]], "species": ["Ir", "Ir", "Ba"], "fractional_positions": [[0.250, 0.250, 0.250], [0.750, 0.750, 0.750], [0.000, 0.000, 0.000]]}

***

No. 11
{"formula": "AlCoAsBr2", "functional": "PBEsol", "state": "relaxed", "e_form_raw_mev_per_atom": 653, "total_magnetization_mub_per_atom": 0.5129, "crystal_system": "tetragonal", "lattice_angstrom": [[-3.615, -2.246, -2.306], [3.040, -1.244, -3.555], [1.112, -4.318, 2.462]], "species": ["As", "Co", "Al", "Br", "Br"], "fractional_positions": [[0.000, 0.000, 0.500], [0.500, 0.500, 0.500], [0.000, 0.000, 0.000], [0.000, 0.500, 0.000], [0.500, 0.000, 0.000]]}

***

No. 12
{"formula": "LiFe3Se", "functional": "PBEsol", "state": "relaxed", "e_form_raw_mev_per_atom": 1054, "total_magnetization_mub_per_atom": 1.6339, "crystal_system": "cubic", "lattice_angstrom": [[4.053, 0.000, 0.000], [0.000, 4.053, 0.000], [0.000, 0.000, 4.053]], "species": ["Fe", "Fe", "Fe", "Se", "Li"], "fractional_positions": [[0.000, 0.500, 0.000], [0.000, 0.000, 0.500], [0.500, 0.000, 0.000], [0.500, 0.500, 0.500], [0.000, 0.000, 0.000]]}